# 1
## AcMg2Tl3 (PBE-GGA)

Data for crystalline AcMg2Tl3 at its relaxed geometry.

Results
Space group: P6_3/mmc (194)
Calculated total energy in eV/atom: -2.58
Energy of formation in meV/atom: -185

a = 5.1351 Å, b = 5.1351 Å, c = 15.0409 Å
α = 90.00°, β = 90.00°, γ = 120.00°
Fractional positions:
1 Mg 0.6667 0.3333 0.4118
2 Ac 0.0000 0.0000 0.2500
3 Tl 0.6667 0.3333 0.8677
4 Tl 0.3333 0.6667 0.3677
5 Mg 0.3333 0.6667 0.5882
6 Tl 0.6667 0.3333 0.6323
7 Tl 0.0000 0.0000 0.0000
8 Mg 0.6667 0.3333 0.0882
9 Tl 0.3333 0.6667 0.1323
10 Tl 0.0000 0.0000 0.5000
11 Mg 0.3333 0.6667 0.9118
12 Ac 0.0000 0.0000 0.7500

# 2
## AlFe3H (PBE-GGA)

Data for crystalline AlFe3H at its relaxed geometry.

Results
Space group: P6_3/mmc (194)
Calculated total energy in eV/atom: -6.35
Polymorph energy (0 for the lowest one) in meV/atom: 323

a = 4.0878 Å, b = 4.0878 Å, c = 7.2170 Å
α = 90.00°, β = 90.00°, γ = 120.00°
Site moments in Bohr magnetons follow the coordinates.
Fractional positions:
1 H 0.0000 0.0000 0.0000  -0.02
2 Fe 0.3333 0.6667 0.0826  2.36
3 Al 0.3333 0.6667 0.7500  -0.07
4 Al 0.6667 0.3333 0.2500  -0.07
5 Fe 0.0000 0.0000 0.7500  1.78
6 Fe 0.6667 0.3333 0.5826  2.37
7 H 0.0000 0.0000 0.5000  -0.02
8 Fe 0.0000 0.0000 0.2500  1.78
9 Fe 0.3333 0.6667 0.4174  2.37
10 Fe 0.6667 0.3333 0.9174  2.36